No. 1
A relaxed MoRuBr2 crystal. Source: Alexandria via LeMat-Bulk, functional PBE.

Unit cell a=8.761 b=8.761 c=8.761 alpha=20.82 beta=20.82 gamma=20.82
Sites, in units of the cell vectors:
Mo (0.000, 0.000, 0.000)
Ru (0.500, 0.500, 0.500)
Br (0.406, 0.406, 0.406)
Br (0.594, 0.594, 0.594)

Properties
Symmetry: R-3m, No. 166
Energy relative to the elements, uncorrected in eV/atom: 0.72
DFT total energy in eV/atom: -5.15
Polymorph energy (0 for the lowest one) in kJ/mol of formula units: 270



No. 2
A relaxed MoRuBr2 crystal. Source: Alexandria via LeMat-Bulk, functional PBE.

Unit cell a=7.885 b=7.885 c=7.885 alpha=156.36 beta=149.93 gamma=38.60
Sites, in units of the cell vectors:
Mo (0.000, 0.000, 0.000)
Ru (0.500, 0.500, 0.000)
Br (0.142, 0.642, 0.500)
Br (0.858, 0.358, 0.500)

Properties
Symmetry: Immm, No. 71
Energy relative to the elements, uncorrected in eV/atom: 0.42
DFT total energy in eV/atom: -5.44
Polymorph energy (0 for the lowest one) in kJ/mol of formula units: 157